Compound: HfZr2Ni2As4Pd2
Source: the Open Quantum Materials Database
Functional: PBE-GGA
Structure: relaxed

It has space group Pm (No. 6), with a = 6.5103 Å, b = 3.8724 Å, c = 7.5722 Å, α = 90.00°, β = 91.23° and γ = 90.00°. The asymmetric unit holds Hf at (0.0000, 0.0000, 0.0000), Zr at (0.4395, 0.5000, 0.4967), Zr at (0.9381, 0.5000, 0.6321), Ni at (0.3248, 0.5000, 0.8694), Ni at (0.6169, 0.0000, 0.7576), As at (0.2398, 0.0000, 0.7028), As at (0.2569, 0.5000, 0.1732), As at (0.6987, 0.5000, 0.9287), As at (0.7153, 0.0000, 0.4437), Pd at (0.1188, 0.0000, 0.3711) and Pd at (0.8360, 0.5000, 0.2429).

For the total magnetization, the calculation gives 0.0 μB per cell. The crystal system is monoclinic. The value obtained for the energy above the most stable polymorph in this dataset is 11 meV per atom. For the total energy, the calculation gives -76.022 eV/cell.